(1)
# Na2NbHgS4 | the Open Quantum Materials Database | GGA-PBE | relaxed
# - energy (eV per atom) = -4.46
# - symmetry = No. 5
# - crystal system = monoclinic
data_Na2NbHgS4
_cell_length_a 6.962
_cell_length_b 6.962
_cell_length_c 6.470
_cell_angle_alpha 117.68
_cell_angle_beta 117.68
_cell_angle_gamma 97.79
_symmetry_space_group_name_H-M 'P 1'
_symmetry_Int_Tables_number 1
_symmetry_space_group_name_Hall 'P 1'
loop_
_atom_site_label
_atom_site_type_symbol
_atom_site_fract_x
_atom_site_fract_y
_atom_site_fract_z
Nb1 Nb 0.736 0.264 0.000
Na1 Na 0.485 0.515 0.500
Na2 Na 0.236 0.764 0.000
S1 S 0.645 0.938 0.573
S2 S 0.062 0.355 0.427
S3 S 0.836 0.600 0.009
S4 S 0.400 0.164 0.991
Hg1 Hg 0.986 0.014 0.500

(2)
# Na2NbHgS4 | the Open Quantum Materials Database | GGA-PBE | relaxed
# - energy (eV per atom) = -4.48
# - symmetry = No. 82
# - crystal system = tetragonal
data_Na2NbHgS4
_cell_length_a 7.303
_cell_length_b 7.303
_cell_length_c 7.303
_cell_angle_alpha 129.47
_cell_angle_beta 129.47
_cell_angle_gamma 74.25
_symmetry_space_group_name_H-M 'P 1'
_symmetry_Int_Tables_number 1
_symmetry_space_group_name_Hall 'P 1'
loop_
_atom_site_label
_atom_site_type_symbol
_atom_site_fract_x
_atom_site_fract_y
_atom_site_fract_z
Nb1 Nb 0.250 0.750 0.500
S1 S 0.925 0.857 0.508
S2 S 0.349 0.417 0.492
S3 S 0.583 0.075 0.931
S4 S 0.143 0.651 0.069
Na1 Na 0.750 0.250 0.500
Na2 Na 0.500 0.500 0.000
Hg1 Hg 0.000 0.000 0.000

(3)
# Na2NbHgSe4 | the Open Quantum Materials Database | GGA-PBE | relaxed
# - energy (eV per atom) = -4.05
# - symmetry = No. 5
# - crystal system = monoclinic
data_Na2NbHgSe4
_cell_length_a 7.269
_cell_length_b 7.269
_cell_length_c 6.769
_cell_angle_alpha 117.73
_cell_angle_beta 117.73
_cell_angle_gamma 97.63
_symmetry_space_group_name_H-M 'P 1'
_symmetry_Int_Tables_number 1
_symmetry_space_group_name_Hall 'P 1'
loop_
_atom_site_label
_atom_site_type_symbol
_atom_site_fract_x
_atom_site_fract_y
_atom_site_fract_z
Se1 Se 0.356 0.065 0.489
Se2 Se 0.604 0.838 0.932
Se3 Se 0.162 0.396 0.068
Se4 Se 0.935 0.644 0.511
Hg1 Hg 0.014 0.986 0.000
Na1 Na 0.515 0.485 0.000
Na2 Na 0.764 0.236 0.500
Nb1 Nb 0.264 0.736 0.500

(4)
# NaNdHg6 | the Open Quantum Materials Database | GGA-PBE | relaxed
# - energy (eV per atom) = -1.26
# - symmetry = No. 187
# - crystal system = hexagonal
data_NaNdHg6
_cell_length_a 6.748
_cell_length_b 6.748
_cell_length_c 5.161
_cell_angle_alpha 90.00
_cell_angle_beta 90.00
_cell_angle_gamma 120.00
_symmetry_space_group_name_H-M 'P 1'
_symmetry_Int_Tables_number 1
_symmetry_space_group_name_Hall 'P 1'
loop_
_atom_site_label
_atom_site_type_symbol
_atom_site_fract_x
_atom_site_fract_y
_atom_site_fract_z
Hg1 Hg 0.496 0.504 0.000
Hg2 Hg 0.496 0.993 0.000
Hg3 Hg 0.167 0.833 0.500
Hg4 Hg 0.007 0.504 0.000
Hg5 Hg 0.667 0.833 0.500
Hg6 Hg 0.167 0.333 0.500
Na1 Na 0.000 0.000 0.000
Nd1 Nd 0.667 0.333 0.500

(5)
# NaNdHgS3 | the Open Quantum Materials Database | GGA-PBE | relaxed
# - energy (eV per atom) = -4.25
# - symmetry = No. 11
# - crystal system = monoclinic
data_NaNdHgS3
_cell_length_a 7.711
_cell_length_b 4.149
_cell_length_c 9.978
_cell_angle_alpha 90.00
_cell_angle_beta 101.92
_cell_angle_gamma 90.00
_symmetry_space_group_name_H-M 'P 1'
_symmetry_Int_Tables_number 1
_symmetry_space_group_name_Hall 'P 1'
loop_
_atom_site_label
_atom_site_type_symbol
_atom_site_fract_x
_atom_site_fract_y
_atom_site_fract_z
S1 S 0.460 0.750 0.152
S2 S 0.048 0.250 0.852
S3 S 0.952 0.750 0.148
S4 S 0.235 0.250 0.452
S5 S 0.540 0.250 0.848
S6 S 0.765 0.750 0.548
Hg1 Hg 0.602 0.250 0.609
Hg2 Hg 0.398 0.750 0.391
Nd1 Nd 0.199 0.250 0.129
Nd2 Nd 0.801 0.750 0.871
Na1 Na 0.753 0.250 0.259
Na2 Na 0.247 0.750 0.741

(6)
# NaNdHgS3 | the Open Quantum Materials Database | GGA-PBE | relaxed
# - energy (eV per atom) = -4.23
# - symmetry = No. 12
# - crystal system = monoclinic
data_NaNdHgS3
_cell_length_a 9.003
_cell_length_b 9.003
_cell_length_c 8.727
_cell_angle_alpha 105.40
_cell_angle_beta 105.40
_cell_angle_gamma 26.20
_symmetry_space_group_name_H-M 'P 1'
_symmetry_Int_Tables_number 1
_symmetry_space_group_name_Hall 'P 1'
loop_
_atom_site_label
_atom_site_type_symbol
_atom_site_fract_x
_atom_site_fract_y
_atom_site_fract_z
Nd1 Nd 0.176 0.176 0.604
Nd2 Nd 0.824 0.824 0.396
S1 S 0.674 0.674 0.826
S2 S 0.337 0.337 0.630
S3 S 0.326 0.326 0.174
S4 S 0.000 0.000 0.500
S5 S 0.663 0.663 0.370
S6 S 0.500 0.500 0.000
Na1 Na 0.872 0.872 0.925
Na2 Na 0.128 0.128 0.075
Hg1 Hg 0.482 0.482 0.277
Hg2 Hg 0.518 0.518 0.723

(7)
# NaNdHgS3 | the Open Quantum Materials Database | GGA-PBE | relaxed
# - energy (eV per atom) = -4.26
# - symmetry = No. 62
# - crystal system = orthorhombic
data_NaNdHgS3
_cell_length_a 11.084
_cell_length_b 4.157
_cell_length_c 13.247
_cell_angle_alpha 90.00
_cell_angle_beta 90.00
_cell_angle_gamma 90.00
_symmetry_space_group_name_H-M 'P 1'
_symmetry_Int_Tables_number 1
_symmetry_space_group_name_Hall 'P 1'
loop_
_atom_site_label
_atom_site_type_symbol
_atom_site_fract_x
_atom_site_fract_y
_atom_site_fract_z
Na1 Na 0.695 0.750 0.991
Na2 Na 0.805 0.250 0.491
Na3 Na 0.305 0.250 0.009
Na4 Na 0.195 0.750 0.509
S1 S 0.424 0.250 0.398
S2 S 0.743 0.750 0.334
S3 S 0.757 0.250 0.834
S4 S 0.460 0.750 0.881
S5 S 0.076 0.750 0.898
S6 S 0.257 0.250 0.666
S7 S 0.576 0.750 0.602
S8 S 0.243 0.750 0.166
S9 S 0.540 0.250 0.119
S10 S 0.960 0.750 0.619
S11 S 0.924 0.250 0.102
S12 S 0.040 0.250 0.381
Nd1 Nd 0.009 0.250 0.765
Nd2 Nd 0.509 0.250 0.735
Nd3 Nd 0.991 0.750 0.235
Nd4 Nd 0.491 0.750 0.265
Hg1 Hg 0.260 0.750 0.791
Hg2 Hg 0.760 0.750 0.709
Hg3 Hg 0.740 0.250 0.209
Hg4 Hg 0.240 0.250 0.291

(8)
# NaNdHgS3 | the Open Quantum Materials Database | GGA-PBE | relaxed
# - energy (eV per atom) = -4.29
# - symmetry = No. 62
# - crystal system = orthorhombic
data_NaNdHgS3
_cell_length_a 12.458
_cell_length_b 4.119
_cell_length_c 11.735
_cell_angle_alpha 90.00
_cell_angle_beta 90.00
_cell_angle_gamma 90.00
_symmetry_space_group_name_H-M 'P 1'
_symmetry_Int_Tables_number 1
_symmetry_space_group_name_Hall 'P 1'
loop_
_atom_site_label
_atom_site_type_symbol
_atom_site_fract_x
_atom_site_fract_y
_atom_site_fract_z
S1 S 0.773 0.750 0.652
S2 S 0.227 0.250 0.348
S3 S 0.063 0.250 0.654
S4 S 0.579 0.750 0.424
S5 S 0.079 0.750 0.076
S6 S 0.273 0.750 0.848
S7 S 0.921 0.250 0.924
S8 S 0.937 0.750 0.346
S9 S 0.421 0.250 0.576
S10 S 0.563 0.250 0.846
S11 S 0.727 0.250 0.152
S12 S 0.437 0.750 0.154
Na1 Na 0.128 0.750 0.486
Na2 Na 0.872 0.250 0.514
Na3 Na 0.628 0.750 0.014
Na4 Na 0.372 0.250 0.986
Hg1 Hg 0.764 0.250 0.795
Hg2 Hg 0.264 0.250 0.705
Hg3 Hg 0.236 0.750 0.205
Hg4 Hg 0.736 0.750 0.295
Nd1 Nd 0.549 0.750 0.672
Nd2 Nd 0.951 0.250 0.172
Nd3 Nd 0.049 0.750 0.828
Nd4 Nd 0.451 0.250 0.328

(9)
# NaNdHgS3 | the Open Quantum Materials Database | GGA-PBE | relaxed
# - energy (eV per atom) = -4.25
# - symmetry = No. 62
# - crystal system = orthorhombic
data_NaNdHgS3
_cell_length_a 8.096
_cell_length_b 4.189
_cell_length_c 16.867
_cell_angle_alpha 90.00
_cell_angle_beta 90.00
_cell_angle_gamma 90.00
_symmetry_space_group_name_H-M 'P 1'
_symmetry_Int_Tables_number 1
_symmetry_space_group_name_Hall 'P 1'
loop_
_atom_site_label
_atom_site_type_symbol
_atom_site_fract_x
_atom_site_fract_y
_atom_site_fract_z
S1 S 0.802 0.250 0.210
S2 S 0.989 0.250 0.579
S3 S 0.511 0.750 0.079
S4 S 0.302 0.250 0.290
S5 S 0.489 0.250 0.921
S6 S 0.698 0.750 0.710
S7 S 0.622 0.250 0.446
S8 S 0.378 0.750 0.554
S9 S 0.011 0.750 0.421
S10 S 0.198 0.750 0.790
S11 S 0.878 0.750 0.946
S12 S 0.122 0.250 0.054
Hg1 Hg 0.379 0.250 0.149
Hg2 Hg 0.879 0.250 0.351
Hg3 Hg 0.621 0.750 0.851
Hg4 Hg 0.121 0.750 0.649
Nd1 Nd 0.766 0.250 0.044
Nd2 Nd 0.234 0.750 0.956
Nd3 Nd 0.734 0.750 0.544
Nd4 Nd 0.266 0.250 0.456
Na1 Na 0.070 0.750 0.227
Na2 Na 0.930 0.250 0.773
Na3 Na 0.430 0.250 0.727
Na4 Na 0.570 0.750 0.273

(10)
# NaNdHgS3 | the Open Quantum Materials Database | GGA-PBE | relaxed
# - energy (eV per atom) = -4.26
# - symmetry = No. 63
# - crystal system = orthorhombic
data_NaNdHgS3
_cell_length_a 4.142
_cell_length_b 6.966
_cell_length_c 11.029
_cell_angle_alpha 90.00
_cell_angle_beta 90.00
_cell_angle_gamma 72.71
_symmetry_space_group_name_H-M 'P 1'
_symmetry_Int_Tables_number 1
_symmetry_space_group_name_Hall 'P 1'
loop_
_atom_site_label
_atom_site_type_symbol
_atom_site_fract_x
_atom_site_fract_y
_atom_site_fract_z
Na1 Na 0.256 0.488 0.250
Na2 Na 0.744 0.512 0.750
Nd1 Nd 0.000 0.000 0.000
Nd2 Nd 0.000 0.000 0.500
S1 S 0.641 0.719 0.443
S2 S 0.359 0.281 0.557
S3 S 0.359 0.281 0.943
S4 S 0.641 0.719 0.057
S5 S 0.917 0.167 0.250
S6 S 0.083 0.833 0.750
Hg1 Hg 0.457 0.085 0.750
Hg2 Hg 0.543 0.915 0.250

(11)
# NaNdHg3S4 | the Open Quantum Materials Database | GGA-PBE | relaxed
# - energy (eV per atom) = -3.18
# - symmetry = No. 215
# - crystal system = cubic
data_NaNdHg3S4
_cell_length_a 6.591
_cell_length_b 6.591
_cell_length_c 6.591
_cell_angle_alpha 90.00
_cell_angle_beta 90.00
_cell_angle_gamma 90.00
_symmetry_space_group_name_H-M 'P 1'
_symmetry_Int_Tables_number 1
_symmetry_space_group_name_Hall 'P 1'
loop_
_atom_site_label
_atom_site_type_symbol
_atom_site_fract_x
_atom_site_fract_y
_atom_site_fract_z
Hg1 Hg 0.500 0.000 0.500
Hg2 Hg 0.000 0.500 0.500
Hg3 Hg 0.500 0.500 0.000
S1 S 0.736 0.264 0.736
S2 S 0.264 0.264 0.264
S3 S 0.264 0.736 0.736
S4 S 0.736 0.736 0.264
Nd1 Nd 0.500 0.500 0.500
Na1 Na 0.000 0.000 0.000

(12)
# NaNdHgS3 | the Open Quantum Materials Database | GGA-PBE | relaxed
# - energy (eV per atom) = -4.28
# - symmetry = No. 62
# - crystal system = orthorhombic
data_NaNdHgS3
_cell_length_a 14.461
_cell_length_b 4.139
_cell_length_c 11.363
_cell_angle_alpha 90.00
_cell_angle_beta 90.00
_cell_angle_gamma 90.00
_symmetry_space_group_name_H-M 'P 1'
_symmetry_Int_Tables_number 1
_symmetry_space_group_name_Hall 'P 1'
loop_
_atom_site_label
_atom_site_type_symbol
_atom_site_fract_x
_atom_site_fract_y
_atom_site_fract_z
Nd1 Nd 0.459 0.750 0.148
Nd2 Nd 0.541 0.250 0.852
Nd3 Nd 0.041 0.250 0.648
Nd4 Nd 0.959 0.750 0.352
S1 S 0.086 0.250 0.411
S2 S 0.566 0.750 0.373
S3 S 0.164 0.750 0.731
S4 S 0.586 0.250 0.089
S5 S 0.434 0.250 0.627
S6 S 0.414 0.750 0.911
S7 S 0.664 0.750 0.769
S8 S 0.066 0.750 0.127
S9 S 0.914 0.750 0.589
S10 S 0.836 0.250 0.269
S11 S 0.934 0.250 0.873
S12 S 0.336 0.250 0.231
Na1 Na 0.290 0.250 0.806
Na2 Na 0.790 0.250 0.694
Na3 Na 0.710 0.750 0.194
Na4 Na 0.210 0.750 0.306
Hg1 Hg 0.952 0.250 0.103
Hg2 Hg 0.452 0.250 0.397
Hg3 Hg 0.048 0.750 0.897
Hg4 Hg 0.548 0.750 0.603